KNpSe2: relaxed, PBE.

Unit cell a=3.6284 b=3.6284 c=7.9489 alpha=90.00 beta=90.00 gamma=90.00
With the nearest neighbours (Å) after each atom.
Element x y z (fractional)
Np: 0.5000 0.5000 0.0000  8 Se 3.06
K: 0.5000 0.5000 0.5000  8 Se 3.45, 4 K 3.63
Se: 0.0000 0.0000 0.7909  4 Np 3.06, 1 Se 3.32
Se: 0.0000 0.0000 0.2091  4 Np 3.06, 1 Se 3.32

uncorrected formation energy: -1.13 eV/atom

---

Mn2GeSe4: relaxed, PBE.

Unit cell a=7.0463 b=7.0463 c=7.9916 alpha=116.16 beta=116.16 gamma=90.00
With the nearest neighbours (Å) after each atom.
Element x y z (fractional)
Mn: 0.3750 0.1250 0.7500  4 Se 2.42-2.48
Mn: 0.3750 0.6250 0.7500  4 Se 2.42-2.48
Mn: 0.3750 0.6250 0.2500  4 Se 2.42-2.48
Mn: 0.8750 0.6250 0.2500  4 Se 2.42-2.48
Ge: 0.7500 0.2500 0.5000  8 Se 2.97-3.01
Ge: 0.0000 0.0000 0.0000  8 Se 2.97-3.01
Se: 0.3305 0.9943 0.3887  2 Mn 2.42-2.48
Se: 0.6918 0.8556 0.1113  2 Mn 2.42-2.48
Se: 0.6056 0.6695 0.6113  2 Mn 2.42-2.48
Se: 0.7443 0.3082 0.8887  2 Mn 2.42-2.48
Se: 0.0057 0.9418 0.6113  2 Mn 2.42-2.48
Se: 0.1444 0.5805 0.8887  2 Mn 2.42-2.48
Se: 0.0582 0.3944 0.3887  2 Mn 2.42-2.48
Se: 0.4195 0.2557 0.1113  2 Mn 2.42-2.48

uncorrected formation energy: -0.22 eV/atom

---

BaTe2PdSe4: relaxed, PBE.

Unit cell a=7.6187 b=6.6655 c=6.6655 alpha=72.16 beta=55.15 gamma=55.15
With the nearest neighbours (Å) after each atom.
Element x y z (fractional)
Ba: 0.0000 0.0000 0.0000  8 Se 3.38-3.56
Te: 0.5000 0.7499 0.2501  4 Se 2.86
Te: 0.5000 0.2501 0.7499  4 Se 2.86
Pd: 0.0000 0.5000 0.5000  4 Se 2.49
Se: 0.5899 0.5599 0.8503  1 Pd 2.49
Se: 0.4101 0.1497 0.4401  1 Pd 2.49
Se: 0.0001 0.4401 0.1497  1 Pd 2.49
Se: 0.9999 0.8503 0.5599  1 Pd 2.49

uncorrected formation energy: -0.50 eV/atom

---

Ga2AgPb: relaxed, PBE.

Unit cell a=3.5237 b=3.5237 c=7.0888 alpha=90.00 beta=90.00 gamma=90.00
With the nearest neighbours (Å) after each atom.
Element x y z (fractional)
Pb: 0.5000 0.5000 0.5000  8 Ga 3.25, 4 Pb 3.52, 2 Ag 3.54
Ga: 0.0000 0.0000 0.7950  4 Ag 2.88, 1 Ga 2.91
Ga: 0.0000 0.0000 0.2050  4 Ag 2.88, 1 Ga 2.91
Ag: 0.5000 0.5000 0.0000  8 Ga 2.88

energy relative to the elements: 0.066 eV per atom

---

HoErAs2: relaxed, PBE.

Unit cell a=5.7816 b=5.7816 c=7.0855 alpha=114.08 beta=114.08 gamma=90.00
With the nearest neighbours (Å) after each atom.
Element x y z (fractional)
Ho: 0.7500 0.2500 0.5000  6 As 2.89-2.90
Ho: 0.0000 0.0000 0.0000  6 As 2.89-2.90
Er: 0.5000 0.5000 0.0000  6 As 2.89
Er: 0.2500 0.7500 0.5000  6 As 2.89
As: 0.7495 0.7495 0.4991  3 Er 2.89, 3 Ho 2.89-2.90
As: 0.4995 0.9995 0.9991  3 Er 2.89, 3 Ho 2.89-2.90
As: 0.2505 0.2505 0.5009  3 Er 2.89, 3 Ho 2.89-2.90
As: 0.0005 0.5005 0.0009  3 Er 2.89, 3 Ho 2.89-2.90

energy relative to the lowest polymorph listed for this composition: 0 meV/atom
energy relative to the elements: -1.527 eV per atom

---

K3GeB: relaxed, PBE.

Unit cell a=5.8937 b=5.8937 c=5.8937 alpha=90.00 beta=90.00 gamma=90.00
With the nearest neighbours (Å) after each atom.
Element x y z (fractional)
Ge: 0.5000 0.5000 0.5000  12 K 4.17
B: 0.0000 0.0000 0.0000  6 K 2.95
K: 0.0000 0.5000 0.0000  2 B 2.95
K: 0.0000 0.0000 0.5000  2 B 2.95
K: 0.5000 0.0000 0.0000  2 B 2.95

energy relative to the lowest polymorph listed for this composition: 0 meV/atom
energy relative to the elements: 1.068 eV per atom

---

YCrCo2: relaxed, PBE.

Unit cell a=6.9342 b=4.3624 c=3.1706 alpha=89.96 beta=62.85 gamma=128.97
With the nearest neighbours (Å) after each atom.
Element x y z (fractional)
Co: 0.0000 0.0000 0.0000  4 Cr 2.70, 4 Y 2.70
Co: 0.5000 0.0000 0.5000  4 Y 2.70, 4 Cr 2.70
Cr: 0.0000 0.5000 0.5000  8 Co 2.70
Y: 0.5000 0.5000 0.0000  8 Co 2.70

energy relative to the lowest polymorph listed for this composition: 219 meV/atom
energy relative to the elements: 0.242 eV per atom

---

Sr3Ho3ZnSe8: relaxed, PBE.

Unit cell a=8.2856 b=8.2845 c=8.5573 alpha=118.94 beta=90.00 gamma=120.00
With the nearest neighbours (Å) after each atom.
Element x y z (fractional)
Sr: 0.0000 0.0000 0.0000  6 Se 3.07-3.10
Sr: 0.0000 0.5000 0.0000  6 Se 3.07-3.10
Sr: 0.5000 0.5000 0.0000  6 Se 3.07-3.10
Ho: 0.5000 0.0000 0.5000  6 Se 2.87-2.89
Ho: 0.5000 0.5000 0.5000  6 Se 2.87-2.89
Ho: 0.0000 0.5000 0.5000  6 Se 2.87-2.89
Zn: 0.0000 0.0000 0.5000  6 Se 2.80
Se: 0.2570 0.5141 0.2711  3 Ho 2.89, 3 Sr 3.07
Se: 0.7430 0.4859 0.7289  3 Ho 2.89, 3 Sr 3.07
Se: 0.7647 0.5294 0.2826  1 Zn 2.80, 2 Ho 2.87, 2 Sr 3.10
Se: 0.2353 0.4706 0.7174  1 Zn 2.80, 2 Ho 2.87, 2 Sr 3.10
Se: 0.7644 0.0180 0.2824  1 Zn 2.80, 2 Ho 2.87, 2 Sr 3.10
Se: 0.2356 0.9820 0.7176  1 Zn 2.80, 2 Ho 2.87, 2 Sr 3.10
Se: 0.2536 0.0180 0.2824  1 Zn 2.80, 2 Ho 2.87, 2 Sr 3.10
Se: 0.7464 0.9820 0.7176  1 Zn 2.80, 2 Ho 2.87, 2 Sr 3.10

uncorrected formation energy: -1.70 eV/atom

---

Summary of total energy in eV per atom
-6.378; -5.487; -3.919; -3.087; -6.137; -1.850; -7.332; -4.899
(order as listed above)